[1]
Density functional theory data (GGA-PBE) for an optimized crystal structure of LiGa2TeSe6.

Computed properties:
Space group = C2/c (15)
E = -71.64 eV per cell

Unit cell a=8.689 b=8.689 c=7.046 alpha=101.34 beta=101.34 gamma=85.25
Sites, in units of the cell vectors:
Li  0.103  0.897  0.750
Li  0.897  0.103  0.250
Ga  0.213  0.404  0.749
Ga  0.404  0.213  0.249
Ga  0.596  0.787  0.751
Ga  0.787  0.596  0.251
Te  0.240  0.760  0.250
Te  0.760  0.240  0.750
Se  0.031  0.187  0.630
Se  0.072  0.639  0.872
Se  0.187  0.031  0.130
Se  0.308  0.449  0.453
Se  0.361  0.928  0.628
Se  0.449  0.308  0.953
Se  0.551  0.692  0.047
Se  0.639  0.072  0.372
Se  0.692  0.551  0.547
Se  0.813  0.969  0.870
Se  0.928  0.361  0.128
Se  0.969  0.813  0.370

=====

[2]
Density functional theory data (GGA-PBE) for an optimized crystal structure of Na3SrV.

Computed properties:
Formation energy = 0.7486 eV per atom
ΔE to the lowest computed polymorph = 0.000 eV per atom
Space group = Pm-3m (221)
E = -11.01 eV per cell

Unit cell a=5.815 b=5.815 c=5.815 alpha=90.00 beta=90.00 gamma=90.00
Sites, in units of the cell vectors:
Na  0.000  0.000  0.500
Na  0.000  0.500  0.000
Na  0.500  0.000  0.000
Sr  0.500  0.500  0.500
V  0.000  0.000  0.000

=====

[3]
Density functional theory data (GGA-PBE) for an optimized crystal structure of HfTe2O.

Computed properties:
Space group = I-42d (122)
E = -42.81 eV per cell

Unit cell a=7.429 b=7.429 c=7.429 alpha=133.14 beta=133.14 gamma=68.43
Sites, in units of the cell vectors:
Hf  0.000  0.000  0.000
Hf  0.750  0.250  0.500
Te  0.179  0.625  0.054
Te  0.375  0.429  0.554
Te  0.571  0.125  0.946
Te  0.875  0.821  0.446
O  0.250  0.750  0.500
O  0.500  0.500  0.000

=====

[4]
Density functional theory data (GGA-PBE) for an optimized crystal structure of GaFeSb2.

Computed properties:
Space group = I-42d (122)
E = -37.23 eV per cell

Unit cell a=7.416 b=7.416 c=7.416 alpha=132.65 beta=132.65 gamma=69.20
Sites, in units of the cell vectors:
Ga  0.000  0.000  0.000
Ga  0.750  0.250  0.500
Fe  0.250  0.750  0.500
Fe  0.500  0.500  0.000
Sb  0.151  0.625  0.026
Sb  0.375  0.401  0.526
Sb  0.599  0.125  0.974
Sb  0.875  0.849  0.474

=====

[5]
Density functional theory data (GGA-PBE) for an optimized crystal structure of NaPuPb2.

Computed properties:
Formation energy = -0.0895 eV per atom
ΔE to the lowest computed polymorph = 0.060 eV per atom
Space group = Fm-3m (225)
E = -23.43 eV per cell

Unit cell a=5.454 b=5.454 c=5.454 alpha=60.00 beta=60.00 gamma=60.00
Sites, in units of the cell vectors:
Na  0.000  0.000  0.000
Pu  0.500  0.500  0.500
Pb  0.250  0.250  0.250
Pb  0.750  0.750  0.750

=====

[6]
Density functional theory data (GGA-PBE) for an optimized crystal structure of Ca2UPtO8.

Computed properties:
Space group = Cmmm (65)
E = -86.54 eV per cell

Unit cell a=5.109 b=5.109 c=6.656 alpha=90.00 beta=90.00 gamma=92.17
Sites, in units of the cell vectors:
Ca  0.000  0.000  0.244
Ca  0.000  0.000  0.756
U  0.500  0.500  0.500
Pt  0.500  0.500  0.000
O  0.222  0.222  0.500
O  0.233  0.233  0.000
O  0.322  0.678  0.237
O  0.322  0.678  0.763
O  0.678  0.322  0.237
O  0.678  0.322  0.763
O  0.767  0.767  0.000
O  0.778  0.778  0.500

=====

[7]
Density functional theory data (GGA-PBE) for an optimized crystal structure of NaSr2Pd.

Computed properties:
Formation energy = -0.1660 eV per atom
ΔE to the lowest computed polymorph = 0.174 eV per atom
Space group = P4/mmm (123)
E = -10.54 eV per cell

Unit cell a=5.504 b=5.504 c=4.225 alpha=90.00 beta=90.00 gamma=90.00
Sites, in units of the cell vectors:
Na  0.000  0.000  0.000
Sr  0.000  0.500  0.500
Sr  0.500  0.000  0.500
Pd  0.500  0.500  0.000

=====

[8]
Density functional theory data (GGA-PBE) for an optimized crystal structure of CaCeTeAs.

Computed properties:
Space group = R3m (160)
E = -21.48 eV per cell

Unit cell a=7.663 b=7.663 c=7.663 alpha=33.18 beta=33.18 gamma=33.18
Sites, in units of the cell vectors:
Ca  0.000  0.000  0.000
Ce  0.518  0.518  0.518
Te  0.758  0.758  0.758
As  0.256  0.256  0.256